(1)
Here is Tl2AgTeO4 after structural relaxation from Alexandria via LeMat-Bulk. Energies are from PBE-GGA.

Structure (POSCAR):
```
Tl2AgTeO4
1.0
5.934 0.000 0.000
2.957 5.210 0.000
0.091 3.242 5.144
Tl Ag Te O
2 1 1 4
Cartesian
0.000 0.000 0.000
3.032 5.027 3.712
6.161 3.452 0.818
3.116 1.536 2.397
2.494 3.259 1.629
5.262 5.552 1.154
6.339 5.470 3.936
4.921 1.535 1.796
```

Computed properties:
Symmetry   P1

=====

(2)
Here is NaAg2I3 after structural relaxation from Alexandria via LeMat-Bulk. Energies are from PBE-GGA.

Structure (POSCAR):
```
NaAg2I3
1.0
8.259 0.000 0.000
0.000 4.552 0.000
-2.435 0.000 11.997
Na Ag I
2 4 6
Cartesian
1.333 1.138 3.569
4.491 3.414 8.428
0.368 3.414 0.963
2.319 1.138 6.975
3.505 3.414 5.022
5.456 1.138 11.035
-1.227 3.414 10.166
0.737 3.414 6.090
3.011 3.414 2.229
2.813 1.138 9.768
5.086 1.138 5.908
7.051 1.138 1.831
```

Computed properties:
Energy above the most stable polymorph in this dataset   29 meV/atom
Symmetry   P2_1/m

=====

(3)
Here is NaSc2BePb after structural relaxation from Alexandria via LeMat-Bulk. Energies are from PBE-GGA.

Structure (POSCAR):
```
NaSc2BePb
1.0
5.117 0.000 0.000
0.000 5.117 0.000
0.000 0.000 4.541
Na Sc Be Pb
1 2 1 1
Cartesian
0.000 0.000 0.000
0.000 2.558 0.000
2.558 0.000 0.000
0.000 0.000 2.271
2.558 2.558 2.271
```

Computed properties:
Symmetry   P4/mmm

=====

(4)
Here is TmSc2Pd after structural relaxation from Alexandria via LeMat-Bulk. Energies are from PBE-GGA.

Structure (POSCAR):
```
TmSc2Pd
1.0
6.545 0.000 0.000
0.000 9.388 0.000
0.000 0.000 6.076
Tm Sc Pd
4 8 4
Cartesian
0.067 2.347 0.704
3.205 7.041 3.742
3.340 2.347 2.334
6.478 7.041 5.372
1.172 0.485 4.136
1.172 4.209 4.136
2.101 5.180 1.098
2.101 8.903 1.098
4.444 0.485 4.978
4.444 4.209 4.978
5.374 5.180 1.940
5.374 8.903 1.940
0.665 7.041 2.626
2.607 2.347 5.664
3.938 7.041 0.412
5.880 2.347 3.451
```

Computed properties:
Energy above the most stable polymorph in this dataset   0 meV/atom
Symmetry   Pnma

=====

(5)
Here is Ca8Al2In after structural relaxation from Alexandria via LeMat-Bulk. Energies are from PBE-GGA.

Structure (POSCAR):
```
Ca8Al2In
1.0
-2.691 4.068 8.078
2.691 -4.068 8.078
2.691 4.068 -8.078
Ca Al In
8 2 1
Cartesian
2.691 2.239 -2.533
0.000 0.000 2.582
0.000 2.367 0.000
2.691 2.239 2.533
0.000 1.829 5.545
0.000 5.769 0.000
0.000 0.000 13.575
0.000 1.829 10.612
2.691 0.000 5.089
0.000 4.068 2.989
2.691 0.000 0.000
```

Computed properties:
Symmetry   Immm

=====

(6)
Here is Tl4BiBr7 after structural relaxation from Alexandria via LeMat-Bulk. Energies are from PBE-GGA.

Structure (POSCAR):
```
Tl4BiBr7
1.0
11.136 -2.812 0.000
11.136 2.812 0.000
-2.384 0.000 7.557
Tl Bi Br
4 1 7
Cartesian
1.561 0.000 1.040
2.545 0.000 5.696
17.344 0.000 1.861
18.328 0.000 6.517
9.944 0.000 3.779
-1.192 0.000 3.779
4.579 0.000 1.288
7.170 0.000 4.572
9.071 0.000 1.039
10.817 0.000 6.518
12.718 0.000 2.985
15.309 0.000 6.269
```

Computed properties:
Symmetry   C2/m

=====

(7)
Here is YCdAg3 after structural relaxation from Alexandria via LeMat-Bulk. Energies are from PBE-GGA.

Structure (POSCAR):
```
YCdAg3
1.0
5.086 0.000 0.000
0.000 5.086 0.000
0.000 0.000 5.086
Y Cd Ag
1 1 3
Cartesian
0.000 0.000 0.000
2.543 2.543 2.543
0.000 2.543 2.543
2.543 0.000 2.543
2.543 2.543 0.000
```

Computed properties:
Energy above the most stable polymorph in this dataset   583 meV/atom
Symmetry   Pm-3m

=====

(8)
Here is LaSm2Pa after structural relaxation from Alexandria via LeMat-Bulk. Energies are from PBE-GGA.

Structure (POSCAR):
```
LaSm2Pa
1.0
4.990 0.000 0.000
0.000 4.990 0.000
0.000 0.000 5.053
La Sm Pa
1 2 1
Cartesian
0.000 0.000 0.000
0.000 2.495 2.527
2.495 0.000 2.527
2.495 2.495 0.000
```

Computed properties:
Energy above the most stable polymorph in this dataset   128 meV/atom
Symmetry   P4/mmm

=====

(9)
Here is NdLuMg2 after structural relaxation from Alexandria via LeMat-Bulk. Energies are from PBE-GGA.

Structure (POSCAR):
```
NdLuMg2
1.0
0.000 3.807 3.807
3.807 0.000 3.807
3.807 3.807 0.000
Nd Lu Mg
1 1 2
Cartesian
0.000 0.000 0.000
3.807 3.807 3.807
1.904 1.904 1.904
5.711 5.711 5.711
```

Computed properties:
Energy above the most stable polymorph in this dataset   0 meV/atom
Symmetry   Fm-3m

=====

(10)
Here is Ti5Nb2Ga after structural relaxation from Alexandria via LeMat-Bulk. Energies are from PBE-GGA.

Structure (POSCAR):
```
Ti5Nb2Ga
1.0
-3.506 3.506 5.637
3.506 -3.506 5.637
3.506 3.506 -5.637
Ti Nb Ga
10 4 2
Cartesian
0.000 0.000 0.000
2.468 -1.038 1.843
4.544 -1.038 3.794
4.544 1.038 1.843
2.468 1.038 3.794
0.000 0.000 5.637
1.038 2.468 1.843
-1.038 2.468 3.794
-1.038 4.544 1.843
1.038 4.544 3.794
2.395 1.111 0.000
2.395 -1.111 5.637
1.111 4.617 0.000
1.111 2.395 5.637
0.000 0.000 2.819
0.000 0.000 8.456
```

Computed properties:
Symmetry   I4/mcm

=====

(11)
Here is BaCaSn after structural relaxation from Alexandria via LeMat-Bulk. Energies are from PBE-GGA.

Structure (POSCAR):
```
BaCaSn
1.0
5.451 0.000 0.000
-2.725 4.721 0.000
0.000 0.000 4.644
Ba Ca Sn
1 1 1
Cartesian
0.000 0.000 0.000
2.725 1.574 2.310
0.000 3.147 2.397
```

Computed properties:
Symmetry   P3m1

=====

(12)
Here is Fe2AsOs after structural relaxation from Alexandria via LeMat-Bulk. Energies are from PBE-GGA.

Structure (POSCAR):
```
Fe2AsOs
1.0
1.446 -2.297 0.000
1.446 2.297 0.000
0.000 0.000 8.444
Fe As Os
2 1 1
Cartesian
0.000 0.000 0.000
1.446 0.000 1.952
0.000 0.000 4.030
1.446 0.000 6.369
```

Computed properties:
Symmetry   Cmm2

=====

The records above give, respectively, magnetic moment values of 0.0, 0.0, 0.0, 0.0, 0.0, 0.0, 0.0, 0.0, 0.0, 0.0, 0.0, 5.4 μB/cell.
The records above give, respectively, E_tot values of -4.4520, -2.4891, -3.3468, -6.0460, -2.5562, -2.8784, -2.8244, -5.6944, -3.2040, -7.8318, -3.0953, -7.7746 eV/atom.